First-principles (GGA-PBE) data for HoEr4Lu after structural relaxation, as listed in Alexandria via LeMat-Bulk.

Geometry as extended XYZ:
```
6
Lattice="0.000 4.568 4.568 4.568 0.000 4.568 4.568 4.568 0.000" Properties=species:S:1:pos:R:3 pbc="T T T"
Ho 0.000 0.000 0.000
Er 5.711 3.426 3.426
Er 3.426 5.711 3.426
Er 3.426 3.426 5.711
Er 5.711 5.711 5.711
Lu 2.284 2.284 2.284
```

Symmetry: F-43m (216)
Calculated formation energy: 262 meV per atom
DOS(E_F): 1.4270 states/eV per atom
Density: 8.79 g/cm³
Raw total energy: -4.30 eV per atom